Record 1
Below is a relaxed structure of LiAc2SbN, with properties calculated at the PBE level.

Values from the calculation:
- crystal system = tetragonal
- volume (Å³ per cell) = 127.3
- DOS(E_F) (states/eV per cell) = 1.5
- formation energy without anion corrections (eV per atom) = -0.916
- magnetic moment (μB per formula unit) = 0.0

abc: 5.344 5.344 4.455
angles: 90.00 90.00 90.00
Space group P4/mmm (No. 123)
Unique sites:
Li  0.000  0.000  0.000 [1 per cell]
Ac  0.000  0.500  0.500 [2 per cell]
Sb  0.500  0.500  0.000 [1 per cell]
N  0.000  0.000  0.500 [1 per cell]

Record 2
Below is a relaxed structure of Li2AcSeN, with properties calculated at the PBE level.

Values from the calculation:
- crystal system = tetragonal
- volume (Å³ per cell) = 392.2
- DOS(E_F) (states/eV per cell) = 6.4
- formation energy without anion corrections (eV per atom) = -1.034
- magnetic moment (μB per formula unit) = 0.0

abc: 6.264 6.264 9.997
angles: 90.00 90.00 90.00
Space group I4/mcm (No. 140)
Unique sites:
Li  0.191  0.309  0.000 [8 per cell]
Ac  0.000  0.000  0.250 [4 per cell]
Se  0.000  0.500  0.250 [4 per cell]
N  0.000  0.000  0.000 [4 per cell]

Record 3
Below is a relaxed structure of LiAc2SnN, with properties calculated at the PBE level.

Values from the calculation:
- crystal system = monoclinic
- volume (Å³ per cell) = 264.2
- DOS(E_F) (states/eV per cell) = 3.7
- formation energy without anion corrections (eV per atom) = -0.755
- magnetic moment (μB per formula unit) = 0.0

abc: 7.348 4.194 9.010
angles: 90.00 107.94 90.00
Space group P2_1/m (No. 11)
Unique sites:
Li  0.067  0.250  0.251 [2 per cell]
Ac  0.295  0.750  0.534 [2 per cell]
Ac  0.322  0.750  0.127 [2 per cell]
Sn  0.180  0.250  0.802 [2 per cell]
N  0.354  0.250  0.330 [2 per cell]

Record 4
Below is a relaxed structure of Li2AcSnN, with properties calculated at the PBE level.

Values from the calculation:
- crystal system = orthorhombic
- volume (Å³ per cell) = 406.7
- DOS(E_F) (states/eV per cell) = 1.1
- formation energy without anion corrections (eV per atom) = -0.623
- magnetic moment (μB per formula unit) = 0.0

abc: 3.706 14.908 7.361
angles: 90.00 90.00 90.00
Space group Cmcm (No. 63)
Unique sites:
Li  0.000  0.130  0.061 [8 per cell]
Ac  0.000  0.461  0.250 [4 per cell]
Sn  0.000  0.254  0.750 [4 per cell]
N  0.000  0.000  0.000 [4 per cell]

Record 5
Below is a relaxed structure of LiAcSnN, with properties calculated at the PBE level.

Values from the calculation:
- crystal system = orthorhombic
- volume (Å³ per cell) = 212.2
- DOS(E_F) (states/eV per cell) = 3.6
- formation energy without anion corrections (eV per atom) = -0.368
- magnetic moment (μB per formula unit) = 0.0

abc: 3.610 3.650 16.107
angles: 90.00 90.00 90.00
Space group Amm2 (No. 38)
Unique sites:
Li  0.000  0.000  0.000 [2 per cell]
Ac  0.500  0.000  0.299 [2 per cell]
Sn  0.000  0.000  0.633 [2 per cell]
N  0.000  0.000  0.770 [2 per cell]

Record 6
Below is a relaxed structure of LiAcTa4N8, with properties calculated at the PBE level.

Values from the calculation:
- crystal system = trigonal
- volume (Å³ per cell) = 575.2
- formation energy without anion corrections (eV per atom) = -0.938
- magnetic moment (μB per formula unit) = 0.0

abc: 6.3890 6.3890 16.2716
angles: 90.00 90.00 120.00
Space group R3m (No. 160, hexagonal axes)
Unique sites:
Li  0.0000  0.0000  0.0000 [3 per cell]
Ac  0.0000  0.0000  0.3721 [3 per cell]
Ta  0.0000  0.0000  0.6194 [3 per cell]
Ta  0.1732  0.3465  0.8274 [9 per cell]
N  0.0000  0.0000  0.2279 [3 per cell]
N  0.0000  0.0000  0.7550 [3 per cell]
N  0.0079  0.5039  0.2391 [9 per cell]
N  0.0522  0.5261  0.7643 [9 per cell]

Record 7
Below is a relaxed structure of Li2Ac2TaN4, with properties calculated at the PBE level.

Values from the calculation:
- crystal system = monoclinic
- volume (Å³ per cell) = 241.7
- DOS(E_F) (states/eV per cell) = 4.8
- formation energy without anion corrections (eV per atom) = -0.760
- magnetic moment (μB per formula unit) = 0.0

abc: 12.702 3.367 6.054
angles: 90.00 111.02 90.00
Space group C2/m (No. 12)
Unique sites:
Li  0.171  0.000  0.015 [4 per cell]
Ac  0.137  0.500  0.572 [4 per cell]
Ta  0.000  0.500  0.000 [2 per cell]
N  0.020  0.000  0.776 [4 per cell]
N  0.186  0.500  0.192 [4 per cell]

Record 8
Below is a relaxed structure of LiAc3Tc2N6, with properties calculated at the PBE level.

Values from the calculation:
- crystal system = trigonal
- volume (Å³ per cell) = 207.3
- DOS(E_F) (states/eV per cell) = 5.9
- formation energy without anion corrections (eV per atom) = -0.636
- magnetic moment (μB per formula unit) = 0.0

abc: 5.9280 5.9280 6.8112
angles: 90.00 90.00 120.00
Space group P-3m1 (No. 164)
Unique sites:
Li  0.0000  0.0000  0.0000 [1 per cell]
Ac  0.0000  0.0000  0.5000 [1 per cell]
Ac  0.3333  0.6667  0.1720 [2 per cell]
Tc  0.3333  0.6667  0.7057 [2 per cell]
N  0.1665  0.3329  0.7932 [6 per cell]

> volume of number 7 (Li2Ac2TaN4)?

241.7 Å³ per cell